## one
Here is crystalline Fe4O5F3 at its relaxed geometry from Alexandria via LeMat-Bulk. Energies are from PBE with a Hubbard U.

Results
M_tot: 16.99 μB/f.u.
volume: 11.3 Å³/atom
density: 4.41 g/cm³

Unit cell a=6.008 b=6.353 c=7.118 alpha=90.00 beta=90.00 gamma=90.00
Element x y z (fractional)
Fe (0.009, 0.250, 0.239)
Fe (0.250, 0.250, 0.779)
Fe (0.250, 0.750, 0.258)
Fe (0.491, 0.250, 0.239)
Fe (0.509, 0.750, 0.761)
Fe (0.750, 0.250, 0.742)
Fe (0.750, 0.750, 0.221)
Fe (0.991, 0.750, 0.761)
O (0.004, 0.058, 0.750)
O (0.004, 0.442, 0.750)
O (0.250, 0.250, 0.062)
O (0.496, 0.058, 0.750)
O (0.496, 0.442, 0.750)
O (0.504, 0.558, 0.250)
O (0.504, 0.942, 0.250)
O (0.750, 0.750, 0.938)
O (0.996, 0.558, 0.250)
O (0.996, 0.942, 0.250)
F (0.250, 0.250, 0.437)
F (0.250, 0.750, 0.571)
F (0.250, 0.750, 0.942)
F (0.750, 0.250, 0.058)
F (0.750, 0.250, 0.429)
F (0.750, 0.750, 0.563)

## two
Here is crystalline Fe4O5F3 at its relaxed geometry from Alexandria via LeMat-Bulk. Energies are from PBE with a Hubbard U.

Results
M_tot: 18.98 μB/f.u.
volume: 11.3 Å³/atom
density: 4.42 g/cm³

Unit cell a=6.086 b=4.716 c=9.913 alpha=90.00 beta=107.81 gamma=90.00
Element x y z (fractional)
Fe (0.059, 0.000, 0.378)
Fe (0.199, 0.489, 0.148)
Fe (0.323, 0.057, 0.886)
Fe (0.439, 0.480, 0.633)
Fe (0.561, 0.980, 0.367)
Fe (0.677, 0.557, 0.114)
Fe (0.801, 0.989, 0.852)
Fe (0.941, 0.500, 0.622)
O (0.017, 0.202, 0.777)
O (0.140, 0.308, 0.529)
O (0.267, 0.184, 0.290)
O (0.392, 0.331, 0.037)
O (0.485, 0.703, 0.224)
O (0.515, 0.203, 0.776)
O (0.608, 0.831, 0.963)
O (0.733, 0.684, 0.710)
O (0.860, 0.808, 0.471)
O (0.983, 0.702, 0.223)
F (0.109, 0.816, 0.972)
F (0.239, 0.708, 0.724)
F (0.366, 0.792, 0.480)
F (0.634, 0.292, 0.520)
F (0.761, 0.208, 0.276)
F (0.891, 0.316, 0.028)

## three
Here is crystalline Fe4O5F3 at its relaxed geometry from Alexandria via LeMat-Bulk. Energies are from PBE with a Hubbard U.

Results
M_tot: 15.98 μB/f.u.
volume: 11.2 Å³/atom
density: 4.44 g/cm³

Unit cell a=4.740 b=6.030 c=9.929 alpha=107.52 beta=95.03 gamma=90.14
Element x y z (fractional)
Fe (0.000, 0.000, 0.000)
Fe (0.009, 0.512, 0.002)
Fe (0.436, 0.389, 0.274)
Fe (0.470, 0.637, 0.771)
Fe (0.479, 0.884, 0.254)
Fe (0.538, 0.136, 0.742)
Fe (0.953, 0.752, 0.494)
Fe (0.974, 0.262, 0.508)
O (0.151, 0.463, 0.419)
O (0.184, 0.714, 0.914)
O (0.284, 0.087, 0.161)
O (0.284, 0.584, 0.161)
O (0.294, 0.337, 0.662)
O (0.655, 0.677, 0.350)
O (0.667, 0.185, 0.354)
O (0.681, 0.929, 0.849)
O (0.693, 0.436, 0.853)
O (0.802, 0.054, 0.596)
F (0.169, 0.959, 0.410)
F (0.188, 0.206, 0.904)
F (0.284, 0.835, 0.656)
F (0.780, 0.565, 0.607)
F (0.793, 0.805, 0.100)
F (0.812, 0.301, 0.089)

Most stable structure: two

## one
Here is crystalline Fe4O5F3 at its relaxed geometry from Alexandria via LeMat-Bulk. Energies are from PBE with a Hubbard U.

Results
M_tot: 6.97 μB/f.u.
volume: 11.2 Å³/atom
density: 4.44 g/cm³

Unit cell a=7.630 b=7.630 c=7.055 alpha=116.79 beta=116.79 gamma=49.03
Element x y z (fractional)
Fe (0.000, 0.000, 0.000)
Fe (0.126, 0.126, 0.626)
Fe (0.258, 0.258, 0.266)
Fe (0.374, 0.374, 0.840)
Fe (0.500, 0.500, 0.500)
Fe (0.626, 0.626, 0.160)
Fe (0.742, 0.742, 0.734)
Fe (0.874, 0.874, 0.374)
O (0.058, 0.445, 0.742)
O (0.193, 0.807, 0.500)
O (0.304, 0.696, 0.000)
O (0.382, 0.382, 0.563)
O (0.445, 0.058, 0.742)
O (0.555, 0.942, 0.258)
O (0.618, 0.618, 0.437)
O (0.696, 0.304, 0.000)
O (0.807, 0.193, 0.500)
O (0.942, 0.555, 0.258)
F (0.123, 0.123, 0.311)
F (0.128, 0.128, 0.941)
F (0.374, 0.374, 0.176)
F (0.626, 0.626, 0.824)
F (0.872, 0.872, 0.059)
F (0.877, 0.877, 0.689)

## two
Here is crystalline Fe4O5F3 at its relaxed geometry from Alexandria via LeMat-Bulk. Energies are from PBE with a Hubbard U.

Results
M_tot: 17.98 μB/f.u.
volume: 11.1 Å³/atom
density: 4.48 g/cm³

Unit cell a=4.687 b=5.562 c=10.301 alpha=96.00 beta=91.11 gamma=91.31
Element x y z (fractional)
Fe (0.000, 0.000, 0.000)
Fe (0.000, 0.500, 0.500)
Fe (0.032, 0.256, 0.743)
Fe (0.454, 0.760, 0.757)
Fe (0.500, 0.000, 0.500)
Fe (0.500, 0.500, 0.000)
Fe (0.546, 0.240, 0.243)
Fe (0.968, 0.744, 0.257)
O (0.190, 0.767, 0.430)
O (0.194, 0.527, 0.663)
O (0.198, 0.269, 0.920)
O (0.303, 0.768, 0.928)
O (0.318, 0.029, 0.669)
O (0.682, 0.971, 0.331)
O (0.697, 0.232, 0.072)
O (0.802, 0.731, 0.080)
O (0.806, 0.473, 0.337)
O (0.810, 0.233, 0.570)
F (0.194, 0.025, 0.181)
F (0.295, 0.516, 0.188)
F (0.302, 0.267, 0.417)
F (0.698, 0.733, 0.583)
F (0.705, 0.484, 0.812)
F (0.806, 0.975, 0.819)

Most stable structure: two

## one
Here is crystalline Fe5O4F8 at its relaxed geometry from Alexandria via LeMat-Bulk. Energies are from PBE with a Hubbard U.

Results
M_tot: 24.01 μB/f.u.
volume: 12.9 Å³/atom
density: 3.76 g/cm³

Unit cell a=9.546 b=8.607 c=5.631 alpha=81.29 beta=63.03 gamma=35.67
Element x y z (fractional)
Fe (0.000, 0.000, 0.000)
Fe (0.337, 0.337, 0.663)
Fe (0.590, 0.590, 0.910)
Fe (0.663, 0.663, 0.337)
Fe (0.910, 0.910, 0.590)
O (0.111, 0.728, 0.792)
O (0.369, 0.792, 0.728)
O (0.728, 0.111, 0.369)
O (0.792, 0.369, 0.111)
F (0.145, 0.525, 0.450)
F (0.223, 0.777, 0.223)
F (0.450, 0.880, 0.145)
F (0.501, 0.999, 0.501)
F (0.525, 0.145, 0.880)
F (0.777, 0.223, 0.777)
F (0.880, 0.450, 0.525)
F (0.999, 0.501, 0.999)

## two
Here is crystalline Fe5O4F8 at its relaxed geometry from Alexandria via LeMat-Bulk. Energies are from PBE with a Hubbard U.

Results
M_tot: 11.98 μB/f.u.
volume: 11.2 Å³/atom
density: 4.30 g/cm³

Unit cell a=4.641 b=4.641 c=8.923 alpha=90.00 beta=90.00 gamma=96.15
Element x y z (fractional)
Fe (0.000, 0.000, 0.000)
Fe (0.000, 0.000, 0.332)
Fe (0.000, 0.000, 0.668)
Fe (0.500, 0.500, 0.182)
Fe (0.500, 0.500, 0.818)
O (0.201, 0.201, 0.168)
O (0.201, 0.201, 0.832)
O (0.799, 0.799, 0.168)
O (0.799, 0.799, 0.832)
F (0.197, 0.197, 0.500)
F (0.287, 0.713, 0.322)
F (0.287, 0.713, 0.678)
F (0.309, 0.691, 0.000)
F (0.691, 0.309, 0.000)
F (0.713, 0.287, 0.322)
F (0.713, 0.287, 0.678)
F (0.803, 0.803, 0.500)

Most stable structure: one

## one
Here is crystalline Fe4O3F5 at its relaxed geometry from Alexandria via LeMat-Bulk. Energies are from PBE with a Hubbard U.

Results
M_tot: 19.00 μB/f.u.
volume: 12.0 Å³/atom
density: 4.23 g/cm³

Unit cell a=5.732 b=5.732 c=9.568 alpha=92.17 beta=92.17 gamma=66.27
Element x y z (fractional)
Fe (0.000, 0.500, 0.000)
Fe (0.000, 0.500, 0.500)
Fe (0.017, 0.017, 0.272)
Fe (0.465, 0.465, 0.757)
Fe (0.500, 0.000, 0.000)
Fe (0.500, 0.000, 0.500)
Fe (0.535, 0.535, 0.243)
Fe (0.983, 0.983, 0.728)
O (0.134, 0.657, 0.642)
O (0.337, 0.337, 0.923)
O (0.343, 0.866, 0.358)
O (0.657, 0.134, 0.642)
O (0.663, 0.663, 0.077)
O (0.866, 0.343, 0.358)
F (0.137, 0.675, 0.153)
F (0.150, 0.150, 0.105)
F (0.156, 0.156, 0.606)
F (0.325, 0.863, 0.847)
F (0.347, 0.347, 0.406)
F (0.653, 0.653, 0.594)
F (0.675, 0.137, 0.153)
F (0.844, 0.844, 0.394)
F (0.850, 0.850, 0.895)
F (0.863, 0.325, 0.847)

## two
Here is crystalline Fe4O3F5 at its relaxed geometry from Alexandria via LeMat-Bulk. Energies are from PBE with a Hubbard U.

Results
M_tot: 17.00 μB/f.u.
volume: 11.8 Å³/atom
density: 4.31 g/cm³

Unit cell a=4.799 b=6.183 c=9.996 alpha=72.44 beta=86.68 gamma=89.89
Element x y z (fractional)
Fe (0.000, 0.000, 0.000)
Fe (0.007, 0.745, 0.483)
Fe (0.023, 0.245, 0.470)
Fe (0.069, 0.491, 0.967)
Fe (0.496, 0.131, 0.216)
Fe (0.518, 0.615, 0.230)
Fe (0.528, 0.382, 0.719)
Fe (0.547, 0.877, 0.717)
O (0.217, 0.202, 0.070)
O (0.318, 0.313, 0.319)
O (0.341, 0.580, 0.817)
O (0.696, 0.929, 0.132)
O (0.714, 0.666, 0.631)
O (0.723, 0.174, 0.628)
F (0.202, 0.705, 0.068)
F (0.219, 0.960, 0.580)
F (0.223, 0.433, 0.570)
F (0.316, 0.830, 0.335)
F (0.332, 0.075, 0.827)
F (0.732, 0.428, 0.108)
F (0.810, 0.061, 0.372)
F (0.840, 0.534, 0.375)
F (0.842, 0.803, 0.881)
F (0.843, 0.294, 0.877)

## three
Here is crystalline Fe4O3F5 at its relaxed geometry from Alexandria via LeMat-Bulk. Energies are from PBE with a Hubbard U.

Results
M_tot: 6.98 μB/f.u.
volume: 11.6 Å³/atom
density: 4.37 g/cm³

Unit cell a=4.777 b=6.120 c=9.542 alpha=90.00 beta=93.18 gamma=90.00
Element x y z (fractional)
Fe (0.000, 0.000, 0.000)
Fe (0.000, 0.000, 0.500)
Fe (0.000, 0.500, 0.000)
Fe (0.000, 0.500, 0.500)
Fe (0.428, 0.250, 0.253)
Fe (0.471, 0.750, 0.234)
Fe (0.529, 0.250, 0.766)
Fe (0.572, 0.750, 0.747)
O (0.160, 0.250, 0.414)
O (0.286, 0.517, 0.148)
O (0.286, 0.983, 0.148)
O (0.714, 0.017, 0.852)
O (0.714, 0.483, 0.852)
O (0.840, 0.750, 0.586)
F (0.180, 0.750, 0.898)
F (0.209, 0.750, 0.400)
F (0.214, 0.250, 0.906)
F (0.319, 0.014, 0.657)
F (0.319, 0.486, 0.657)
F (0.681, 0.514, 0.343)
F (0.681, 0.986, 0.343)
F (0.786, 0.750, 0.094)
F (0.791, 0.250, 0.600)
F (0.820, 0.250, 0.102)

Most stable structure: one

## one
Here is crystalline Fe6OF11 at its relaxed geometry from Alexandria via LeMat-Bulk. Energies are from PBE with a Hubbard U.

Results
M_tot: 25.00 μB/f.u.
volume: 12.6 Å³/atom
density: 4.11 g/cm³

Unit cell a=5.811 b=5.811 c=7.515 alpha=106.10 beta=106.10 gamma=71.77
Element x y z (fractional)
Fe (0.000, 0.000, 0.000)
Fe (0.004, 0.004, 0.483)
Fe (0.337, 0.337, 0.831)
Fe (0.343, 0.343, 0.327)
Fe (0.671, 0.671, 0.663)
Fe (0.694, 0.694, 0.162)
O (0.896, 0.896, 0.192)
F (0.041, 0.633, 0.820)
F (0.103, 0.103, 0.794)
F (0.239, 0.239, 0.526)
F (0.304, 0.703, 0.504)
F (0.380, 0.972, 0.161)
F (0.458, 0.458, 0.137)
F (0.582, 0.582, 0.878)
F (0.633, 0.041, 0.820)
F (0.703, 0.304, 0.504)
F (0.757, 0.757, 0.448)
F (0.972, 0.380, 0.161)

## two
Here is crystalline Fe6OF11 at its relaxed geometry from Alexandria via LeMat-Bulk. Energies are from PBE with a Hubbard U.

Results
M_tot: 25.00 μB/f.u.
volume: 12.6 Å³/atom
density: 4.09 g/cm³

Unit cell a=9.786 b=4.822 c=4.822 alpha=90.89 beta=90.00 gamma=90.00
Element x y z (fractional)
Fe (0.000, 0.000, 0.000)
Fe (0.153, 0.531, 0.531)
Fe (0.334, 0.026, 0.026)
Fe (0.500, 0.525, 0.525)
Fe (0.666, 0.026, 0.026)
Fe (0.847, 0.531, 0.531)
O (0.000, 0.713, 0.713)
F (0.000, 0.305, 0.305)
F (0.174, 0.229, 0.812)
F (0.174, 0.812, 0.229)
F (0.328, 0.330, 0.330)
F (0.328, 0.722, 0.722)
F (0.500, 0.227, 0.824)
F (0.500, 0.824, 0.227)
F (0.672, 0.330, 0.330)
F (0.672, 0.722, 0.722)
F (0.826, 0.229, 0.812)
F (0.826, 0.812, 0.229)

Most stable structure: one

## one
Here is crystalline Fe6OF11 at its relaxed geometry from Alexandria via LeMat-Bulk. Energies are from PBE with a Hubbard U.

Results
M_tot: 25.00 μB/f.u.
volume: 12.6 Å³/atom
density: 4.10 g/cm³

Unit cell a=3.202 b=10.881 c=10.881 alpha=143.29 beta=90.00 gamma=90.00
Element x y z (fractional)
Fe (0.000, 0.000, 0.000)
Fe (0.000, 0.305, 0.638)
Fe (0.000, 0.638, 0.305)
Fe (0.500, 0.136, 0.804)
Fe (0.500, 0.462, 0.462)
Fe (0.500, 0.804, 0.136)
O (0.500, 0.160, 0.160)
F (0.000, 0.060, 0.865)
F (0.000, 0.204, 0.738)
F (0.000, 0.414, 0.548)
F (0.000, 0.548, 0.414)
F (0.000, 0.738, 0.204)
F (0.000, 0.865, 0.060)
F (0.500, 0.106, 0.438)
F (0.500, 0.438, 0.106)
F (0.500, 0.501, 0.838)
F (0.500, 0.782, 0.782)
F (0.500, 0.838, 0.501)

## two
Here is crystalline Fe6OF11 at its relaxed geometry from Alexandria via LeMat-Bulk. Energies are from PBE with a Hubbard U.

Results
M_tot: 17.00 μB/f.u.
volume: 12.4 Å³/atom
density: 4.17 g/cm³

Unit cell a=5.784 b=5.784 c=7.556 alpha=107.39 beta=107.39 gamma=71.53
Element x y z (fractional)
Fe (0.000, 0.000, 0.000)
Fe (0.309, 0.357, 0.333)
Fe (0.310, 0.374, 0.842)
Fe (0.626, 0.690, 0.158)
Fe (0.643, 0.691, 0.667)
Fe (0.980, 0.020, 0.500)
O (0.297, 0.703, 0.000)
F (0.084, 0.128, 0.308)
F (0.221, 0.253, 0.041)
F (0.347, 0.002, 0.677)
F (0.416, 0.452, 0.627)
F (0.548, 0.584, 0.373)
F (0.609, 0.045, 0.325)
F (0.688, 0.312, 0.000)
F (0.747, 0.779, 0.959)
F (0.872, 0.916, 0.692)
F (0.955, 0.391, 0.675)
F (0.998, 0.653, 0.323)

## three
Here is crystalline Fe6OF11 at its relaxed geometry from Alexandria via LeMat-Bulk. Energies are from PBE with a Hubbard U.

Results
M_tot: 13.00 μB/f.u.
volume: 12.4 Å³/atom
density: 4.18 g/cm³

Unit cell a=3.165 b=10.784 c=10.784 alpha=37.23 beta=90.00 gamma=90.00
Element x y z (fractional)
Fe (0.000, 0.000, 0.000)
Fe (0.000, 0.323, 0.323)
Fe (0.000, 0.661, 0.661)
Fe (0.500, 0.170, 0.170)
Fe (0.500, 0.496, 0.496)
Fe (0.500, 0.831, 0.831)
O (0.500, 0.270, 0.270)
F (0.000, 0.040, 0.630)
F (0.000, 0.308, 0.683)
F (0.000, 0.362, 0.962)
F (0.000, 0.630, 0.040)
F (0.000, 0.683, 0.308)
F (0.000, 0.962, 0.362)
F (0.500, 0.065, 0.065)
F (0.500, 0.395, 0.395)
F (0.500, 0.596, 0.596)
F (0.500, 0.731, 0.731)
F (0.500, 0.932, 0.932)

Most stable structure: one